VASP calculation (PBE) on crystalline DyEr4Te5 at its relaxed geometry.

a b c (Å): 9.6618 9.6618 6.1254
angles (deg): 90.00 90.00 90.00
Closest atoms and distances in Å follow each position.
Space group I4 (No. 79)
One atom of each set of equivalent atoms:
Dy: 0.0000 0.0000 0.0000 x2  6 Te 3.06-3.09
Er: 0.1031 0.7046 0.4986 x8  6 Te 3.02-3.07
Te: 0.0000 0.0000 0.4999 x2  4 Er 3.02, 2 Dy 3.06
Te: 0.0978 0.6958 0.9987 x8  5 Er 3.05-3.07, 1 Dy 3.09

## Properties
The calculation puts the total DFT energy (no corrections) at -5.078 eV/atom. For the density, the calculation gives 8.54 g/cm3. For the energy above the most stable polymorph in this dataset, the calculation gives 0.5 kJ per mole of atoms.

---

VASP calculation (PBE) on crystalline EuTmInHg at its relaxed geometry.

a b c (Å): 7.6184 7.6184 7.6184
angles (deg): 90.00 90.00 90.00
Closest atoms and distances in Å follow each position.
Space group F-43m (No. 216)
One atom of each set of equivalent atoms:
Eu: 0.0000 0.0000 0.0000 x4  4 Hg 3.30, 4 In 3.30
Tm: 0.0000 0.0000 0.5000 x4  4 In 3.30, 4 Hg 3.30
In: 0.2500 0.2500 0.7500 x4  4 Tm 3.30, 4 Eu 3.30
Hg: 0.2500 0.2500 0.2500 x4  4 Tm 3.30, 4 Eu 3.30

## Properties
The calculation puts the total DFT energy (no corrections) at -4.897 eV/atom. For the density, the calculation gives 9.56 g/cm3. The calculated formation energy is -0.45 eV/atom.

---

VASP calculation (PBE) on crystalline Cs2SrP2O7 at its relaxed geometry.

a b c (Å): 10.6865 6.1310 13.7620
angles (deg): 90.00 105.92 90.00
Closest atoms and distances in Å follow each position.
Space group C2/c (No. 15)
One atom of each set of equivalent atoms:
Cs: 0.1423 0.2284 0.1646 x8  8 O 3.07-3.36
Sr: 0.2500 0.2500 0.5000 x4  6 O 2.52-2.58
P: 0.0355 0.2662 0.8670 x8  4 O 1.53-1.65
O: 0.0000 0.1736 0.7500 x4  2 P 1.65
O: 0.0963 0.2874 0.6091 x8  1 P 1.54
O: 0.1068 0.4850 0.8708 x8  1 P 1.54
O: 0.1206 0.0819 0.9252 x8  1 P 1.53

## Properties
The calculation puts the total DFT energy (no corrections) at -6.581 eV/atom. For the density, the calculation gives 4.04 g/cm3.

---

VASP calculation (PBE) on crystalline Pa2Zn12Cu5 at its relaxed geometry.

a b c (Å): 8.8403 8.8403 12.9214
angles (deg): 90.00 90.00 120.00
Closest atoms and distances in Å follow each position.
Space group R-3m (No. 166, hexagonal axes)
One atom of each set of equivalent atoms:
Pa: 0.0000 0.0000 0.1581 x6  1 Cu 3.03, 12 Zn 3.15-3.27
Zn: 0.0000 0.2894 0.5000 x18  2 Cu 2.53, 6 Zn 2.56-2.70
Zn: 0.0012 0.5006 0.3490 x18  3 Cu 2.56-2.72, 6 Zn 2.59-2.70
Cu: 0.0000 0.0000 0.3924 x6  4 Cu 2.66-2.78, 9 Zn 2.72-2.91
Cu: 0.0000 0.5000 0.0000 x9  8 Zn 2.53-2.56, 2 Cu 2.66

## Properties
The calculation puts the total DFT energy (no corrections) at -2.998 eV/atom. For the density, the calculation gives 8.91 g/cm3. The calculated formation energy is -0.12 eV/atom.

---

VASP calculation (PBE) on crystalline BaTl3Pt at its relaxed geometry.

a b c (Å): 5.4446 5.4446 5.4446
angles (deg): 90.00 90.00 90.00
Closest atoms and distances in Å follow each position.
Space group Pm-3m (No. 221)
One atom of each set of equivalent atoms:
Ba: 0.0000 0.0000 0.0000 x1  12 Tl 3.85
Tl: 0.0000 0.5000 0.5000 x3  2 Pt 2.72
Pt: 0.5000 0.5000 0.5000 x1  6 Tl 2.72

## Properties
The calculation puts the total DFT energy (no corrections) at -3.179 eV/atom. For the density, the calculation gives 9.73 g/cm3. The calculated formation energy is -0.17 eV/atom.

---

VASP calculation (PBE) on crystalline TlIn2Hg9 at its relaxed geometry.

a b c (Å): 5.1484 5.1484 12.3682
angles (deg): 90.00 90.00 90.00
Closest atoms and distances in Å follow each position.
Space group P4/mmm (No. 123)
One atom of each set of equivalent atoms:
Tl: 0.0000 0.0000 0.0000 x1  12 Hg 3.35-3.64
In: 0.0000 0.0000 0.3406 x2  8 Hg 3.24-3.30
Hg: 0.0000 0.5000 0.1738 x4  8 Hg 3.26-3.64, 2 In 3.30, 2 Tl 3.35
Hg: 0.0000 0.5000 0.5000 x2  4 In 3.24, 4 Hg 3.28
Hg: 0.5000 0.5000 0.0000 x1  8 Hg 3.35, 4 Tl 3.64
Hg: 0.5000 0.5000 0.3353 x2  8 Hg 3.26-3.28, 4 In 3.64

## Properties
The calculation puts the total DFT energy (no corrections) at -0.887 eV/atom. For the density, the calculation gives 11.34 g/cm3. The calculated formation energy is -0.01 eV/atom. For the energy above the most stable polymorph in this dataset, the calculation gives 0.0 kJ per mole of atoms.

---

VASP calculation (PBE) on crystalline Re2SiAu at its relaxed geometry.

a b c (Å): 2.8968 3.9917 5.4241
angles (deg): 90.00 103.64 90.00
Closest atoms and distances in Å follow each position.
Space group P2/m (No. 10)
One atom of each set of equivalent atoms:
Re: 0.1284 0.0000 0.2795 x2  2 Si 2.44, 1 Re 2.67
Si: 0.5000 0.5000 0.5000 x1  4 Re 2.44, 2 Au 2.71
Au: 0.5000 0.5000 0.0000 x1  2 Si 2.71, 8 Re 2.87-2.88, 2 Au 2.90

## Properties
The calculation puts the total DFT energy (no corrections) at -8.095 eV/atom. For the density, the calculation gives 16.28 g/cm3.

---

VASP calculation (PBE) on crystalline Sm3Cd5H12 at its relaxed geometry.

a b c (Å): 12.8272 12.8272 12.8272
angles (deg): 90.00 90.00 90.00
Closest atoms and distances in Å follow each position.
Space group Ia-3d (No. 230)
One atom of each set of equivalent atoms:
Sm: 0.0000 0.2500 0.1250 x24  8 H 2.32-2.33
Cd: 0.0000 0.0000 0.0000 x16  6 H 2.38
Cd: 0.0000 0.2500 0.3750 x24  4 H 1.97
H: 0.0185 0.0751 0.6691 x96  1 Cd 1.97

## Properties
The calculation puts the total DFT energy (no corrections) at -2.982 eV/atom. For the density, the calculation gives 6.45 g/cm3.